[1]
Density functional theory data (PBE-GGA) for a relaxed Sm2Al4AgPt3 crystal.

Properties
Magnetization: 0.00 μB/cell
E_form: -0.95 eV per atom
Mass density: 9.46 Mg/m³

Cell lengths 4.278, 4.278, 10.570 Å; angles 90.00, 90.00, 90.00 degrees
Atoms (fractional coordinates):
Sm: 0.000 0.500 0.243
Sm: 0.500 0.000 0.757
Al: 0.000 0.000 0.000
Al: 0.000 0.500 0.634
Al: 0.500 0.000 0.366
Al: 0.500 0.500 0.000
Ag: 0.000 0.000 0.500
Pt: 0.000 0.500 0.868
Pt: 0.500 0.000 0.132
Pt: 0.500 0.500 0.500

---

[2]
Density functional theory data (PBE-GGA) for a relaxed SrAl3AgPt crystal.

Properties
Magnetization: 0.00 μB/cell
E_form: -0.40 eV per atom
Mass density: 6.26 Mg/m³

Cell lengths 7.660, 7.660, 5.863 Å; angles 90.00, 90.00, 133.35 degrees
Atoms (fractional coordinates):
Sr: 0.210 0.790 0.750
Sr: 0.790 0.210 0.250
Al: 0.219 0.219 0.000
Al: 0.219 0.219 0.500
Al: 0.376 0.624 0.250
Al: 0.624 0.376 0.750
Al: 0.781 0.781 0.000
Al: 0.781 0.781 0.500
Ag: 0.150 0.850 0.250
Ag: 0.850 0.150 0.750
Pt: 0.417 0.583 0.750
Pt: 0.583 0.417 0.250

---

[3]
Density functional theory data (PBE-GGA) for a relaxed Sr2Al4AgPt3 crystal.

Properties
Magnetization: 0.00 μB/cell
E_form: -0.83 eV per atom
Mass density: 7.88 Mg/m³

Cell lengths 4.500, 4.500, 10.153 Å; angles 90.00, 90.00, 90.00 degrees
Atoms (fractional coordinates):
Sr: 0.000 0.500 0.248
Sr: 0.500 0.000 0.752
Al: 0.000 0.000 0.500
Al: 0.000 0.500 0.874
Al: 0.500 0.000 0.126
Al: 0.500 0.500 0.500
Ag: 0.500 0.500 0.000
Pt: 0.000 0.000 0.000
Pt: 0.000 0.500 0.624
Pt: 0.500 0.000 0.376